1.
# In2ReRh | the Alexandria database | PBE | optimized geometry
data_In2ReRh
_space_group_name_H-M_alt 'P 1'
_space_group_IT_number 1
_cell_length_a 4.4774
_cell_length_b 2.8986
_cell_length_c 5.4924
_cell_angle_alpha 86.16
_cell_angle_beta 90.00
_cell_angle_gamma 90.00
loop_
_space_group_symop_operation_xyz
'x,y,z'
loop_
_atom_site_label
_atom_site_fract_x
_atom_site_fract_y
_atom_site_fract_z
_atom_site_occupancy
In1 0.0000 0.7920 0.2528 1
In2 0.0000 0.2080 0.7472 1
Re1 0.5000 0.5000 0.0000 1
Rh1 0.5000 0.0000 0.5000 1
# Space-group type: P2/m, No. 10
# ΔE_f (eV/atom): 0.381


2.
# ScSiAg2S4 | the Alexandria database | PBE | optimized geometry
data_ScSiAg2S4
_space_group_name_H-M_alt 'P 1'
_space_group_IT_number 1
_cell_length_a 6.5152
_cell_length_b 7.0627
_cell_length_c 7.7442
_cell_angle_alpha 90.00
_cell_angle_beta 90.00
_cell_angle_gamma 90.00
loop_
_space_group_symop_operation_xyz
'x,y,z'
loop_
_atom_site_label
_atom_site_fract_x
_atom_site_fract_y
_atom_site_fract_z
_atom_site_occupancy
S1 0.4033 0.6492 0.2683 1
S2 0.9033 0.3508 0.7683 1
S3 0.4033 0.6492 0.7317 1
S4 0.9033 0.3508 0.2317 1
S5 0.3419 0.0799 0.5000 1
S6 0.8419 0.9201 0.0000 1
S7 0.3312 0.1711 0.0000 1
S8 0.8312 0.8289 0.5000 1
Ag1 0.0287 0.7118 0.7868 1
Ag2 0.5287 0.2882 0.2868 1
Ag3 0.5287 0.2882 0.7132 1
Ag4 0.0287 0.7118 0.2132 1
Sc1 0.9649 0.1572 0.5000 1
Sc2 0.4649 0.8428 0.0000 1
Si1 0.9979 0.1959 0.0000 1
Si2 0.4979 0.8041 0.5000 1
# Space-group type: Pmn2_1, No. 31
# Energy relative to the elements, uncorrected (eV per atom): -0.64


3.
# Sr2MgRhPb | the Alexandria database | PBE | optimized geometry
data_Sr2MgRhPb
_space_group_name_H-M_alt 'P 1'
_space_group_IT_number 1
_cell_length_a 5.7381
_cell_length_b 5.7381
_cell_length_c 5.0159
_cell_angle_alpha 90.00
_cell_angle_beta 90.00
_cell_angle_gamma 90.00
loop_
_space_group_symop_operation_xyz
'x,y,z'
loop_
_atom_site_label
_atom_site_fract_x
_atom_site_fract_y
_atom_site_fract_z
_atom_site_occupancy
Pb1 0.5000 0.5000 0.5000 1
Sr1 0.0000 0.5000 0.0000 1
Sr2 0.5000 0.0000 0.0000 1
Mg1 0.0000 0.0000 0.5000 1
Rh1 0.0000 0.0000 0.0000 1
# Space-group type: P4/mmm, No. 123
# ΔE_f (eV/atom): -0.187


4.
# BeIrPd2Se | the Alexandria database | PBE | optimized geometry
data_BeIrPd2Se
_space_group_name_H-M_alt 'P 1'
_space_group_IT_number 1
_cell_length_a 4.9204
_cell_length_b 4.0842
_cell_length_c 4.9204
_cell_angle_alpha 90.00
_cell_angle_beta 90.00
_cell_angle_gamma 90.00
loop_
_space_group_symop_operation_xyz
'x,y,z'
loop_
_atom_site_label
_atom_site_fract_x
_atom_site_fract_y
_atom_site_fract_z
_atom_site_occupancy
Pd1 0.5000 0.0000 0.0000 1
Pd2 0.0000 0.0000 0.5000 1
Se1 0.5000 0.5000 0.5000 1
Be1 0.0000 0.5000 0.0000 1
Ir1 0.0000 0.0000 0.0000 1
# Space-group type: P4/mmm, No. 123
# Energy relative to the elements, uncorrected (eV per atom): 0.88


5.
# Li4Sn2Te | the Alexandria database | PBE | optimized geometry
data_Li4Sn2Te
_space_group_name_H-M_alt 'P 1'
_space_group_IT_number 1
_cell_length_a 5.4967
_cell_length_b 5.4967
_cell_length_c 7.7650
_cell_angle_alpha 69.27
_cell_angle_beta 69.27
_cell_angle_gamma 90.00
loop_
_space_group_symop_operation_xyz
'x,y,z'
loop_
_atom_site_label
_atom_site_fract_x
_atom_site_fract_y
_atom_site_fract_z
_atom_site_occupancy
Sn1 0.6021 0.6021 0.7958 1
Sn2 0.3979 0.3979 0.2042 1
Li1 0.0000 0.5000 0.0000 1
Li2 0.1959 0.1959 0.6081 1
Li3 0.8041 0.8041 0.3919 1
Li4 0.5000 0.0000 0.0000 1
Te1 0.0000 0.0000 0.0000 1
# Space-group type: I4/mmm, No. 139
# Energy relative to the elements, uncorrected (eV per atom): -0.20


6.
# Dy2Ho5Tm4 | the Alexandria database | PBE | optimized geometry
data_Dy2Ho5Tm4
_space_group_name_H-M_alt 'P 1'
_space_group_IT_number 1
_cell_length_a 3.4547
_cell_length_b 8.8804
_cell_length_c 12.4254
_cell_angle_alpha 110.94
_cell_angle_beta 97.99
_cell_angle_gamma 90.00
loop_
_space_group_symop_operation_xyz
'x,y,z'
loop_
_atom_site_label
_atom_site_fract_x
_atom_site_fract_y
_atom_site_fract_z
_atom_site_occupancy
Tm1 0.0000 0.3118 0.0000 1
Tm2 0.5969 0.5969 0.1939 1
Tm3 0.0000 0.6882 0.0000 1
Tm4 0.4031 0.4031 0.8061 1
Ho1 0.8566 0.0541 0.7133 1
Ho2 0.8566 0.6592 0.7133 1
Ho3 0.5000 0.0000 0.0000 1
Ho4 0.1434 0.3408 0.2867 1
Ho5 0.1434 0.9459 0.2867 1
Dy1 0.7316 0.7316 0.4631 1
Dy2 0.2684 0.2684 0.5369 1
# Space-group type: Immm, No. 71
# ΔE_f (eV/atom): 0.225


7.
# Li2CaCd | the Alexandria database | PBE | optimized geometry
data_Li2CaCd
_space_group_name_H-M_alt 'P 1'
_space_group_IT_number 1
_cell_length_a 4.8503
_cell_length_b 6.5386
_cell_length_c 6.2834
_cell_angle_alpha 90.00
_cell_angle_beta 90.00
_cell_angle_gamma 90.00
loop_
_space_group_symop_operation_xyz
'x,y,z'
loop_
_atom_site_label
_atom_site_fract_x
_atom_site_fract_y
_atom_site_fract_z
_atom_site_occupancy
Li1 0.5000 0.1167 0.7661 1
Li2 0.0000 0.8833 0.2661 1
Li3 0.5000 0.1167 0.2339 1
Li4 0.0000 0.8833 0.7339 1
Ca1 0.0000 0.4060 0.5000 1
Ca2 0.5000 0.5940 0.0000 1
Cd1 0.0000 0.2416 0.0000 1
Cd2 0.5000 0.7584 0.5000 1
# Space-group type: Pmmn, No. 59
# ΔE_f (eV/atom): -0.171


8.
# Sm4NiPd3 | the Alexandria database | PBE | optimized geometry
data_Sm4NiPd3
_space_group_name_H-M_alt 'P 1'
_space_group_IT_number 1
_cell_length_a 3.8490
_cell_length_b 4.5315
_cell_length_c 10.6708
_cell_angle_alpha 90.00
_cell_angle_beta 90.00
_cell_angle_gamma 90.00
loop_
_space_group_symop_operation_xyz
'x,y,z'
loop_
_atom_site_label
_atom_site_fract_x
_atom_site_fract_y
_atom_site_fract_z
_atom_site_occupancy
Pd1 0.5000 0.0000 0.9207 1
Pd2 0.0000 0.5000 0.5861 1
Pd3 0.0000 0.0000 0.4141 1
Sm1 0.5000 0.0000 0.6381 1
Sm2 0.0000 0.5000 0.8687 1
Sm3 0.5000 0.5000 0.3551 1
Sm4 0.0000 0.0000 0.1365 1
Ni1 0.5000 0.5000 0.0808 1
# Space-group type: Pmm2, No. 25
# ΔE_f (eV/atom): -0.721


9.
# Hf3ZrTe | the Alexandria database | PBE | optimized geometry
data_Hf3ZrTe
_space_group_name_H-M_alt 'P 1'
_space_group_IT_number 1
_cell_length_a 5.1680
_cell_length_b 5.1680
_cell_length_c 5.1680
_cell_angle_alpha 90.00
_cell_angle_beta 90.00
_cell_angle_gamma 90.00
loop_
_space_group_symop_operation_xyz
'x,y,z'
loop_
_atom_site_label
_atom_site_fract_x
_atom_site_fract_y
_atom_site_fract_z
_atom_site_occupancy
Hf1 0.0000 0.5000 0.0000 1
Hf2 0.0000 0.0000 0.5000 1
Hf3 0.5000 0.0000 0.0000 1
Zr1 0.0000 0.0000 0.0000 1
Te1 0.5000 0.5000 0.5000 1
# Space-group type: Pm-3m, No. 221
# Energy relative to the elements, uncorrected (eV per atom): 1.09


10.
# ScW2Se | the Alexandria database | PBE | optimized geometry
data_ScW2Se
_space_group_name_H-M_alt 'P 1'
_space_group_IT_number 1
_cell_length_a 3.3597
_cell_length_b 3.3892
_cell_length_c 6.4603
_cell_angle_alpha 74.75
_cell_angle_beta 90.00
_cell_angle_gamma 90.00
loop_
_space_group_symop_operation_xyz
'x,y,z'
loop_
_atom_site_label
_atom_site_fract_x
_atom_site_fract_y
_atom_site_fract_z
_atom_site_occupancy
W1 0.5000 0.1903 0.2444 1
W2 0.0000 0.7973 0.0321 1
Sc1 0.0000 0.5508 0.5230 1
Se1 0.5000 0.9616 0.7005 1
# Space-group type: Amm2, No. 38
# Energy relative to the elements, uncorrected (eV per atom): -0.18


11.
# MgCr | the Alexandria database | PBE | optimized geometry
data_MgCr
_space_group_name_H-M_alt 'P 1'
_space_group_IT_number 1
_cell_length_a 9.2588
_cell_length_b 9.2588
_cell_length_c 9.2588
_cell_angle_alpha 18.02
_cell_angle_beta 18.02
_cell_angle_gamma 18.02
loop_
_space_group_symop_operation_xyz
'x,y,z'
loop_
_atom_site_label
_atom_site_fract_x
_atom_site_fract_y
_atom_site_fract_z
_atom_site_occupancy
Mg1 0.4901 0.4901 0.4901 1
Mg2 0.2599 0.2599 0.2599 1
Cr1 0.0142 0.0142 0.0142 1
Cr2 0.7358 0.7358 0.7358 1
# Space-group type: R-3m, No. 166
# ΔE_f (eV/atom): 0.346


12.
# La8Dy3Y3 | the Alexandria database | PBE | optimized geometry
data_La8Dy3Y3
_space_group_name_H-M_alt 'P 1'
_space_group_IT_number 1
_cell_length_a 5.7053
_cell_length_b 9.8699
_cell_length_c 9.8699
_cell_angle_alpha 101.46
_cell_angle_beta 73.20
_cell_angle_gamma 73.20
loop_
_space_group_symop_operation_xyz
'x,y,z'
loop_
_atom_site_label
_atom_site_fract_x
_atom_site_fract_y
_atom_site_fract_z
_atom_site_occupancy
Dy1 0.2008 0.7992 0.7992 1
Dy2 0.5000 0.5000 0.5000 1
Dy3 0.7992 0.2008 0.2008 1
Y1 0.0000 0.8251 0.1749 1
Y2 0.5000 0.0000 0.0000 1
Y3 0.0000 0.1749 0.8251 1
La1 0.8383 0.5549 0.7684 1
La2 0.1617 0.2316 0.4451 1
La3 0.6570 0.5728 0.1133 1
La4 0.8383 0.7684 0.5549 1
La5 0.3430 0.8867 0.4272 1
La6 0.6570 0.1133 0.5728 1
La7 0.1617 0.4451 0.2316 1
La8 0.3430 0.4272 0.8867 1
# Space-group type: Immm, No. 71
# ΔE_f (eV/atom): 0.092